# 1
Below is a PBEsol-optimized structure of YN3Cl, with properties calculated at the SCAN level. Values from VASP.

Cell and atoms, written as Quantum ESPRESSO input:
```
&SYSTEM
  ibrav = 0, nat = 5, ntyp = 3
/
ATOMIC_SPECIES
N 14.01 N.upf
Cl 35.45 Cl.upf
Y 88.91 Y.upf
ATOMIC_POSITIONS crystal
N 0.000 0.000 0.500
N 0.500 0.000 0.000
N 0.000 0.500 0.000
Cl 0.500 0.500 0.500
Y 0.000 0.000 0.000
CELL_PARAMETERS angstrom
4.588 0.000 0.000
0.000 4.588 0.000
0.000 0.000 4.588
```

Calculated values
- uncorrected formation energy (meV per atom) = 1194
- size of the total moment (μB per formula unit) = 7.00

---

# 2
Below is a PBEsol-optimized structure of Y2NCl3, with properties calculated at the SCAN level. Values from VASP.

Cell and atoms, written as Quantum ESPRESSO input:
```
&SYSTEM
  ibrav = 0, nat = 12, ntyp = 3
/
ATOMIC_SPECIES
Cl 35.45 Cl.upf
Y 88.91 Y.upf
N 14.01 N.upf
ATOMIC_POSITIONS crystal
Cl 0.338 0.813 0.511
Cl 0.773 0.339 0.116
Y 0.138 0.018 0.707
Cl 0.950 0.353 0.747
Cl 0.050 0.647 0.253
Y 0.588 0.778 0.046
N 0.577 0.004 0.843
Y 0.412 0.222 0.954
Y 0.862 0.982 0.293
Cl 0.227 0.661 0.884
N 0.423 0.996 0.157
Cl 0.662 0.187 0.489
CELL_PARAMETERS angstrom
3.790 0.000 0.000
1.895 7.802 0.032
1.895 2.458 9.035
```

Calculated values
- uncorrected formation energy (meV per atom) = -2430
- size of the total moment (μB per formula unit) = 0.00

---

# 3
Below is a PBEsol-optimized structure of Zn2NCl, with properties calculated at the SCAN level. Values from VASP.

Cell and atoms, written as Quantum ESPRESSO input:
```
&SYSTEM
  ibrav = 0, nat = 16, ntyp = 3
/
ATOMIC_SPECIES
Zn 65.41 Zn.upf
N 14.01 N.upf
Cl 35.45 Cl.upf
ATOMIC_POSITIONS crystal
Zn 0.347 0.618 0.673
Zn 0.703 0.969 0.553
N 0.902 0.080 0.373
Zn 0.203 0.531 0.053
Zn 0.203 0.031 0.447
Zn 0.347 0.118 0.827
Cl 0.904 0.585 0.622
N 0.902 0.580 0.127
N 0.402 0.920 0.627
Zn 0.703 0.469 0.947
Cl 0.904 0.085 0.878
Cl 0.404 0.415 0.378
Zn 0.847 0.882 0.173
Cl 0.404 0.915 0.122
N 0.402 0.420 0.873
Zn 0.847 0.382 0.327
CELL_PARAMETERS angstrom
5.889 0.000 0.000
0.000 6.108 0.000
0.000 0.000 7.257
```

Calculated values
- uncorrected formation energy (meV per atom) = -596
- polymorph energy (0 for the lowest one) (eV per atom) = 0.000
- size of the total moment (μB per formula unit) = 0.00

---

# 4
Below is a PBEsol-optimized structure of Zn2NCl, with properties calculated at the SCAN level. Values from VASP.

Cell and atoms, written as Quantum ESPRESSO input:
```
&SYSTEM
  ibrav = 0, nat = 8, ntyp = 3
/
ATOMIC_SPECIES
Zn 65.41 Zn.upf
N 14.01 N.upf
Cl 35.45 Cl.upf
ATOMIC_POSITIONS crystal
Zn 0.125 0.242 0.750
N 0.750 0.250 0.500
Zn 0.492 0.875 0.250
Cl 0.000 0.000 0.000
Zn 0.758 0.375 0.250
Zn 0.625 0.508 0.750
N 0.500 0.500 0.000
Cl 0.250 0.750 0.500
CELL_PARAMETERS angstrom
-1.105 -0.624 -5.008
2.247 -4.651 0.084
-4.803 0.614 3.648
```

Calculated values
- uncorrected formation energy (meV per atom) = -584
- polymorph energy (0 for the lowest one) (eV per atom) = 0.012
- size of the total moment (μB per formula unit) = 0.00

---

# 5
Below is a PBEsol-optimized structure of ZrNCl, with properties calculated at the SCAN level. Values from VASP.

Cell and atoms, written as Quantum ESPRESSO input:
```
&SYSTEM
  ibrav = 0, nat = 6, ntyp = 3
/
ATOMIC_SPECIES
Zr 91.22 Zr.upf
Cl 35.45 Cl.upf
N 14.01 N.upf
ATOMIC_POSITIONS crystal
Zr 0.879 0.879 0.364
Cl 0.393 0.393 0.822
N 0.196 0.196 0.411
Zr 0.121 0.121 0.636
Cl 0.607 0.607 0.178
N 0.804 0.804 0.589
CELL_PARAMETERS angstrom
-2.446 -2.198 1.444
-0.207 -3.417 -1.085
5.392 -4.403 6.897
```

Calculated values
- uncorrected formation energy (meV per atom) = -2116
- size of the total moment (μB per formula unit) = 0.00

---

# 6
Below is a PBEsol-optimized structure of ZrNCl, with properties calculated at the SCAN level. Values from VASP.

Cell and atoms, written as Quantum ESPRESSO input:
```
&SYSTEM
  ibrav = 0, nat = 6, ntyp = 3
/
ATOMIC_SPECIES
Zr 91.22 Zr.upf
N 14.01 N.upf
Cl 35.45 Cl.upf
ATOMIC_POSITIONS crystal
Zr 0.000 0.000 0.194
N 0.667 0.333 0.859
Zr 0.000 0.000 0.806
Cl 0.333 0.667 0.649
N 0.333 0.667 0.141
Cl 0.667 0.333 0.351
CELL_PARAMETERS angstrom
3.408 0.000 0.000
-1.704 2.951 0.000
0.000 0.000 11.753
```

Calculated values
- uncorrected formation energy (meV per atom) = -1848
- size of the total moment (μB per formula unit) = 0.00